Below is an optimized crystal structure of LaMoPdF2, with properties calculated at the PBE+U level. Values from VASP.

```
&SYSTEM
  ibrav = 0, nat = 5, ntyp = 4
/
ATOMIC_SPECIES
La 138.91 La.upf
Pd 106.42 Pd.upf
Mo 95.94 Mo.upf
F 19.00 F.upf
CELL_PARAMETERS angstrom
-4.493 0.710 0.937
-1.135 -4.764 -1.831
0.605 -1.777 4.248
ATOMIC_POSITIONS crystal
La 0.000 0.500 0.000
Pd 0.000 0.000 0.000
Mo 0.500 0.500 0.500
F 0.000 0.000 0.500
F 0.500 0.000 0.000
```

* DOS at the Fermi energy: 0.429 states/eV per atom
* total magnetic moment: 4.92 μB/f.u.
* mass density: 5.59 g cm⁻³
* crystal system: tetragonal
* DFT total energy: -22.828 eV/cell